Computed, not measured: a geometry-optimized Sr2LiCu structure at the GGA-PBEsol level of DFT.

CIF file:
```
data_Sr2LiCu
_cell_length_a 4.5306
_cell_length_b 4.5242
_cell_length_c 11.9528
_cell_angle_alpha 90.00
_cell_angle_beta 90.00
_cell_angle_gamma 90.00
_space_group_name_H-M_alt 'A m m 2'
_space_group_IT_number 38
_space_group_name_Hall 'A 2 -2'
loop_
_atom_site_label
_atom_site_fract_x
_atom_site_fract_y
_atom_site_fract_z
Sr1 0.0000 0.0000 0.0000
Sr2 0.5000 0.0000 0.2842
Li1 0.5000 0.0000 0.5908
Cu1 0.0000 0.0000 0.7042
```

Output
Total moment = 0.00 Bohr magnetons per cell
Formation energy from the elements = 0.0427 eV per atom
Crystal system = orthorhombic
Calculated density = 3.3 Mg/m³
D(E_F) = 0.684 states/eV per atom

Computed, not measured: a geometry-optimized Li2TaCu structure at the GGA-PBEsol level of DFT.

CIF file:
```
data_Li2TaCu
_cell_length_a 5.3137
_cell_length_b 9.9161
_cell_length_c 2.5475
_cell_angle_alpha 90.00
_cell_angle_beta 116.05
_cell_angle_gamma 90.00
_space_group_name_H-M_alt 'C 1 2/m 1'
_space_group_IT_number 12
_space_group_name_Hall '-C 2y'
loop_
_atom_site_label
_atom_site_fract_x
_atom_site_fract_y
_atom_site_fract_z
Li1 0.2500 0.2500 0.0000
Ta1 0.0000 0.0000 0.5000
Cu1 0.0000 0.5000 0.5000
```

Output
Total moment = 0.00 Bohr magnetons per cell
Distance to the lowest polymorph of the same formula = 0.142 eV per atom
Formation energy from the elements = 0.3525 eV per atom
Crystal system = monoclinic
Calculated density = 7.1 Mg/m³
D(E_F) = 0.833 states/eV per atom

Computed, not measured: a geometry-optimized LiTa2Cu structure at the GGA-PBEsol level of DFT.

CIF file:
```
data_LiTa2Cu
_cell_length_a 5.3995
_cell_length_b 7.8384
_cell_length_c 2.7865
_cell_angle_alpha 90.00
_cell_angle_beta 90.00
_cell_angle_gamma 90.00
_space_group_name_H-M_alt 'C m m m'
_space_group_IT_number 65
_space_group_name_Hall '-C 2 2'
loop_
_atom_site_label
_atom_site_fract_x
_atom_site_fract_y
_atom_site_fract_z
Li1 0.0000 0.0000 0.0000
Ta1 0.2500 0.2500 0.5000
Cu1 0.0000 0.5000 0.0000
```

Output
Total moment = 0.00 Bohr magnetons per cell
Distance to the lowest polymorph of the same formula = 0.036 eV per atom
Formation energy from the elements = 0.3849 eV per atom
Crystal system = orthorhombic
Calculated density = 12.2 Mg/m³
D(E_F) = 0.930 states/eV per atom